4
Lattice="1.886 1.089 10.128 -1.886 1.089 10.128 0.000 -2.178 10.128" Properties=species:S:1:pos:R:3 comment="LaTh2Co PBE relaxed" total_magnetization_mub_per_cell=0.002 ef_ev_per_atom=0.06 dos_at_fermi_per_ev_atom=1.48 relative_energy_mev_per_atom=225.6 spacegroup="R-3m, No. 166" pbc="T T T"
La 0.000 0.000 0.000
Th 0.000 0.000 3.470
Th 0.000 0.000 26.913
Co 0.000 0.000 15.191